Material: V2Cd2Hg
Method: DFT, PBE
State: relaxed

The calculated volume is 20.1 A^3/atom. The polymorph energy (0 for the lowest one) comes out at 104 meV per atom. As for the density of states at the Fermi level: 7.501 states/eV/cell.

Cell lengths 4.013, 4.013, 12.486 Å; angles 90.00, 90.00, 90.00 degrees
Fractional positions:
V: 0.000 0.000 0.075
V: 0.000 0.000 0.925
V: 0.500 0.500 0.425
V: 0.500 0.500 0.575
Cd: 0.000 0.500 0.250
Cd: 0.000 0.500 0.750
Cd: 0.500 0.000 0.250
Cd: 0.500 0.000 0.750
Hg: 0.000 0.000 0.500
Hg: 0.500 0.500 0.000

=====

Material: AcCeAlAg
Method: DFT, PBE
State: relaxed

Its total energy is -4.292 eV/atom. The calculated volume is 28.7 A^3/atom. As for the density of states at the Fermi level: 44.026 states/eV/cell.

Cell lengths 7.716, 7.716, 7.716 Å; angles 90.00, 90.00, 90.00 degrees
Fractional positions:
Ac: 0.000 0.000 0.000
Ac: 0.000 0.500 0.500
Ac: 0.500 0.000 0.500
Ac: 0.500 0.500 0.000
Ce: 0.000 0.000 0.500
Ce: 0.000 0.500 0.000
Ce: 0.500 0.000 0.000
Ce: 0.500 0.500 0.500
Al: 0.250 0.250 0.250
Al: 0.250 0.750 0.750
Al: 0.750 0.250 0.750
Al: 0.750 0.750 0.250
Ag: 0.250 0.250 0.750
Ag: 0.250 0.750 0.250
Ag: 0.750 0.250 0.250
Ag: 0.750 0.750 0.750

=====

Material: Te2MoW3Se2S4
Method: DFT, PBE
State: relaxed

The calculated volume is 25.1 A^3/atom. The polymorph energy (0 for the lowest one) comes out at 37 meV per atom. Its uncorrected formation energy is -0.532 eV/atom. As for the density of states at the Fermi level: 0.862 states/eV/cell.

Cell lengths 3.308, 3.308, 31.778 Å; angles 90.00, 90.00, 120.00 degrees
Fractional positions:
Te: 0.000 0.000 0.000
Te: 0.000 0.000 0.121
Mo: 0.000 0.000 0.833
W: 0.000 0.000 0.292
W: 0.333 0.667 0.061
W: 0.333 0.667 0.515
Se: 0.000 0.000 0.462
Se: 0.000 0.000 0.568
S: 0.333 0.667 0.244
S: 0.333 0.667 0.340
S: 0.333 0.667 0.785
S: 0.333 0.667 0.881

=====

Material: LiDyPuRh
Method: DFT, PBE
State: relaxed

Its total energy is -7.322 eV/atom. The calculated volume is 21.2 A^3/atom. As for the density of states at the Fermi level: 30.348 states/eV/cell.

Cell lengths 6.969, 6.969, 6.969 Å; angles 90.00, 90.00, 90.00 degrees
Fractional positions:
Li: 0.000 0.000 0.000
Li: 0.000 0.500 0.500
Li: 0.500 0.000 0.500
Li: 0.500 0.500 0.000
Dy: 0.250 0.250 0.250
Dy: 0.250 0.750 0.750
Dy: 0.750 0.250 0.750
Dy: 0.750 0.750 0.250
Pu: 0.250 0.250 0.750
Pu: 0.250 0.750 0.250
Pu: 0.750 0.250 0.250
Pu: 0.750 0.750 0.750
Rh: 0.000 0.000 0.500
Rh: 0.000 0.500 0.000
Rh: 0.500 0.000 0.000
Rh: 0.500 0.500 0.500

=====

Material: La4U6O19
Method: DFT, PBE
State: relaxed

The calculated volume is 16.3 A^3/atom. Its uncorrected formation energy is -3.165 eV/atom. As for the density of states at the Fermi level: 10.372 states/eV/cell.

Cell lengths 8.492, 8.492, 8.492 Å; angles 109.47, 109.47, 109.47 degrees
Fractional positions:
La: 0.000 0.000 0.716
La: 0.000 0.716 0.000
La: 0.284 0.284 0.284
La: 0.716 0.000 0.000
U: 0.147 0.647 0.500
U: 0.353 0.500 0.853
U: 0.500 0.147 0.647
U: 0.500 0.853 0.353
U: 0.647 0.500 0.147
U: 0.853 0.353 0.500
O: 0.000 0.000 0.000
O: 0.000 0.317 0.317
O: 0.000 0.683 0.683
O: 0.051 0.291 0.679
O: 0.240 0.949 0.628
O: 0.291 0.679 0.051
O: 0.317 0.000 0.317
O: 0.317 0.317 0.000
O: 0.321 0.611 0.372
O: 0.372 0.321 0.611
O: 0.389 0.709 0.760
O: 0.611 0.372 0.321
O: 0.628 0.240 0.949
O: 0.679 0.051 0.291
O: 0.683 0.000 0.683
O: 0.683 0.683 0.000
O: 0.709 0.760 0.389
O: 0.760 0.389 0.709
O: 0.949 0.628 0.240

=====

Material: TmScSeS
Method: DFT, PBE
State: relaxed

The calculated volume is 20.5 A^3/atom. Its uncorrected formation energy is -1.782 eV/atom. As for the density of states at the Fermi level: 1.614 states/eV/cell.

Cell lengths 3.769, 3.769, 19.954 Å; angles 90.00, 90.00, 120.00 degrees
Fractional positions:
Tm: 0.000 0.000 0.000
Tm: 0.333 0.667 0.667
Tm: 0.667 0.333 0.333
Sc: 0.000 0.000 0.814
Sc: 0.333 0.667 0.481
Sc: 0.667 0.333 0.148
Se: 0.000 0.000 0.573
Se: 0.333 0.667 0.240
Se: 0.667 0.333 0.906
S: 0.000 0.000 0.409
S: 0.333 0.667 0.076
S: 0.667 0.333 0.742

=====

Material: Pm12Dy2Ho
Method: DFT, PBE
State: relaxed

Its total energy is -4.397 eV/atom. The calculated volume is 36.0 A^3/atom. As for the density of states at the Fermi level: 35.689 states/eV/cell.

Cell lengths 6.522, 6.522, 25.389 Å; angles 90.00, 90.00, 90.00 degrees
Fractional positions:
Pm: 0.066 0.566 0.114
Pm: 0.066 0.934 0.886
Pm: 0.082 0.582 0.438
Pm: 0.082 0.918 0.562
Pm: 0.250 0.250 0.215
Pm: 0.250 0.250 0.337
Pm: 0.250 0.250 0.663
Pm: 0.250 0.250 0.785
Pm: 0.418 0.582 0.562
Pm: 0.418 0.918 0.438
Pm: 0.434 0.566 0.886
Pm: 0.434 0.934 0.114
Pm: 0.566 0.066 0.886
Pm: 0.566 0.434 0.114
Pm: 0.582 0.082 0.562
Pm: 0.582 0.418 0.438
Pm: 0.750 0.750 0.215
Pm: 0.750 0.750 0.337
Pm: 0.750 0.750 0.663
Pm: 0.750 0.750 0.785
Pm: 0.918 0.082 0.438
Pm: 0.918 0.418 0.562
Pm: 0.934 0.066 0.114
Pm: 0.934 0.434 0.886
Dy: 0.250 0.750 0.272
Dy: 0.250 0.750 0.728
Dy: 0.750 0.250 0.272
Dy: 0.750 0.250 0.728
Ho: 0.250 0.750 0.000
Ho: 0.750 0.250 0.000

=====

Material: Ca2MgGa3Ir4
Method: DFT, PBE
State: relaxed

Its total energy is -5.532 eV/atom. The calculated volume is 18.9 A^3/atom. As for the density of states at the Fermi level: 4.312 states/eV/cell.

Cell lengths 4.223, 4.223, 10.588 Å; angles 90.00, 90.00, 90.00 degrees
Fractional positions:
Ca: 0.000 0.500 0.239
Ca: 0.500 0.000 0.761
Mg: 0.000 0.000 0.500
Ga: 0.000 0.500 0.873
Ga: 0.500 0.000 0.127
Ga: 0.500 0.500 0.500
Ir: 0.000 0.000 0.000
Ir: 0.000 0.500 0.639
Ir: 0.500 0.000 0.361
Ir: 0.500 0.500 0.000